InHgTe2 (GGA-PBE, optimized geometry); uncorrected formation energy = -9 meV per atom; space group = I4/mmm (139)
1.0
6.9302 -0.0070 0.0000
4.0666 5.6116 0.0000
-5.4984 -2.8023 3.1532
Te Hg In
2 1 1
Direct
0.0000 0.0000 0.0000
0.5000 0.5000 0.0000
0.2500 0.7500 0.5000
0.7500 0.2500 0.5000